Record 1
The following is a DFT calculation (PBE) of a geometry-optimized NiAg2Hg structure.

Computed properties:
E (eV per atom): -2.6953
Fermi-level density of states (states/eV per cell): 1.8
Space group: No. 65
Energy relative to the elements (eV per atom): 0.251

a b c (Å): 5.0342 5.0342 2.9324
angles (deg): 90.00 90.00 111.94
Positions (direct):
Ag (0.0000, 0.0000, 0.0000)
Ag (0.5000, 0.5000, 0.0000)
Hg (0.5000, 0.0000, 0.5000)
Ni (0.0000, 0.5000, 0.5000)

---

Record 2
The following is a DFT calculation (PBE) of a geometry-optimized NiAgHg2 structure.

Computed properties:
E (eV per atom): -2.0798
Fermi-level density of states (states/eV per cell): 1.9
Offset from the most stable computed form (meV per atom): 73
Space group: No. 65
Energy relative to the elements (eV per atom): 0.229

a b c (Å): 4.8282 4.8282 3.1270
angles (deg): 90.02 90.02 97.71
Positions (direct):
Ag (0.0000, 0.5000, 0.5000)
Hg (0.0000, 0.0000, 0.0000)
Hg (0.5000, 0.5000, 0.0000)
Ni (0.5000, 0.0000, 0.5000)

---

Record 3
The following is a DFT calculation (PBE) of a geometry-optimized NiAg3Hg structure.

Computed properties:
E (eV per atom): -2.2592
Fermi-level density of states (states/eV per cell): 3.4
Offset from the most stable computed form (meV per atom): 0
Space group: No. 221
Energy relative to the elements (eV per atom): 0.668

a b c (Å): 4.8313 4.8313 4.8313
angles (deg): 90.00 90.00 90.00
Positions (direct):
Ni (0.0000, 0.0000, 0.0000)
Hg (0.5000, 0.5000, 0.5000)
Ag (0.0000, 0.5000, 0.0000)
Ag (0.0000, 0.0000, 0.5000)
Ag (0.5000, 0.0000, 0.0000)

---

Record 4
The following is a DFT calculation (PBE) of a geometry-optimized NiAg2Hg structure.

Computed properties:
E (eV per atom): -2.7597
Fermi-level density of states (states/eV per cell): 1.7
Space group: No. 119
Energy relative to the elements (eV per atom): 0.187

a b c (Å): 4.9373 4.9373 4.9373
angles (deg): 130.48 130.48 72.64
Positions (direct):
Ag (0.0000, 0.0000, 0.0000)
Ag (0.2500, 0.7500, 0.5000)
Hg (0.5000, 0.5000, 0.0000)
Ni (0.7500, 0.2500, 0.5000)

---

Record 5
The following is a DFT calculation (PBE) of a geometry-optimized NiAg2Hg structure.

Computed properties:
E (eV per atom): -2.7691
Fermi-level density of states (states/eV per cell): 1.7
Space group: No. 123
Energy relative to the elements (eV per atom): 0.177

a b c (Å): 3.9964 3.9964 4.2640
angles (deg): 90.00 90.00 90.00
Positions (direct):
Ag (0.0000, 0.0000, 0.0000)
Ag (0.5000, 0.5000, 0.0000)
Hg (0.5000, 0.0000, 0.5000)
Ni (0.0000, 0.5000, 0.5000)

---

Record 6
The following is a DFT calculation (PBE) of a geometry-optimized NiAgHg2 structure.

Computed properties:
E (eV per atom): -2.0808
Fermi-level density of states (states/eV per cell): 2.5
Offset from the most stable computed form (meV per atom): 72
Space group: No. 6
Energy relative to the elements (eV per atom): 0.228

a b c (Å): 4.7666 3.0855 4.9109
angles (deg): 90.02 90.00 90.00
Positions (direct):
Ag (0.5000, 0.6245, 0.8100)
Hg (0.0000, 0.1249, 0.9279)
Hg (0.5000, 0.1245, 0.3272)
Ni (0.0000, 0.6261, 0.4349)

---

Record 7
The following is a DFT calculation (PBE) of a geometry-optimized NiAgHg2 structure.

Computed properties:
E (eV per atom): -2.1141
Fermi-level density of states (states/eV per cell): 0.3
Offset from the most stable computed form (meV per atom): 39
Space group: No. 166
Energy relative to the elements (eV per atom): 0.195

a b c (Å): 9.1466 9.1466 9.1466
angles (deg): 19.44 19.44 19.44
Positions (direct):
Ag (0.7500, 0.7500, 0.7500)
Hg (0.9921, 0.9921, 0.9921)
Hg (0.5079, 0.5079, 0.5079)
Ni (0.2500, 0.2500, 0.2500)

---

Record 8
The following is a DFT calculation (PBE) of a geometry-optimized NiAg2Hg structure.

Computed properties:
E (eV per atom): -2.7671
Fermi-level density of states (states/eV per cell): 1.3
Space group: No. 6
Energy relative to the elements (eV per atom): 0.179

a b c (Å): 3.8053 2.9660 6.7565
angles (deg): 63.58 90.00 90.00
Positions (direct):
Ag (0.0000, 0.0145, 0.9862)
Ag (0.5000, 0.2606, 0.2384)
Hg (0.0000, 0.4767, 0.5230)
Ni (0.5000, 0.7482, 0.7523)

---

Record 9
The following is a DFT calculation (PBE) of a geometry-optimized NiAg2Hg2 structure.

Computed properties:
E (eV per atom): -2.0752
Fermi-level density of states (states/eV per cell): 6.1
Offset from the most stable computed form (meV per atom): 0
Space group: No. 127
Energy relative to the elements (eV per atom): 0.342

a b c (Å): 6.8544 6.8544 4.2556
angles (deg): 90.00 90.00 90.00
Positions (direct):
Ni (0.0000, 0.0000, 0.0000)
Ni (0.5000, 0.5000, 0.0000)
Hg (0.3475, 0.8475, 0.0000)
Hg (0.8475, 0.6525, 0.0000)
Hg (0.6525, 0.1525, 0.0000)
Hg (0.1525, 0.3475, 0.0000)
Ag (0.1560, 0.6560, 0.5000)
Ag (0.6560, 0.8440, 0.5000)
Ag (0.8440, 0.3440, 0.5000)
Ag (0.3440, 0.1560, 0.5000)

---

Record 10
The following is a DFT calculation (PBE) of a geometry-optimized NiAgHg2 structure.

Computed properties:
E (eV per atom): -1.9078
Fermi-level density of states (states/eV per cell): 3.8
Offset from the most stable computed form (meV per atom): 245
Space group: No. 122
Energy relative to the elements (eV per atom): 0.401

a b c (Å): 4.1341 4.1341 9.9984
angles (deg): 78.07 78.07 90.00
Positions (direct):
Ni (0.5000, 0.5000, 0.0000)
Ni (0.2500, 0.7500, 0.5000)
Hg (0.6129, 0.1250, 0.2500)
Hg (0.1371, 0.6250, 0.2500)
Hg (0.3750, 0.3871, 0.7500)
Hg (0.8750, 0.8629, 0.7500)
Ag (0.0000, 0.0000, 0.0000)
Ag (0.7500, 0.2500, 0.5000)

---

Record 11
The following is a DFT calculation (PBE) of a geometry-optimized NiAgHg2 structure.

Computed properties:
E (eV per atom): -2.1365
Fermi-level density of states (states/eV per cell): 2.7
Offset from the most stable computed form (meV per atom): 17
Space group: No. 123
Energy relative to the elements (eV per atom): 0.173

a b c (Å): 3.0990 3.0990 7.4836
angles (deg): 90.00 90.00 90.00
Positions (direct):
Ag (0.5000, 0.5000, 0.7500)
Hg (0.0000, 0.0000, 0.0281)
Hg (0.0000, 0.0000, 0.4719)
Ni (0.5000, 0.5000, 0.2500)

---

Record 12
The following is a DFT calculation (PBE) of a geometry-optimized Ni2AgHg2 structure.

Computed properties:
E (eV per atom): -2.5071
Fermi-level density of states (states/eV per cell): 3.4
Offset from the most stable computed form (meV per atom): 293
Space group: No. 139
Energy relative to the elements (eV per atom): 0.496

a b c (Å): 4.1545 4.1545 6.1903
angles (deg): 70.39 70.39 90.00
Positions (direct):
Ni (0.3975, 0.3975, 0.2050)
Ni (0.6025, 0.6025, 0.7950)
Hg (0.7500, 0.2500, 0.5000)
Hg (0.2500, 0.7500, 0.5000)
Ag (0.0000, 0.0000, 0.0000)

---

Record 13
The following is a DFT calculation (PBE) of a geometry-optimized NiAgHg2 structure.

Computed properties:
E (eV per atom): -2.0737
Fermi-level density of states (states/eV per cell): 1.3
Offset from the most stable computed form (meV per atom): 80
Space group: No. 12
Energy relative to the elements (eV per atom): 0.235

a b c (Å): 4.7315 4.7315 5.5344
angles (deg): 77.97 77.97 38.30
Positions (direct):
Ag (0.2500, 0.2500, 0.2500)
Hg (0.0117, 0.0117, 0.9809)
Hg (0.4883, 0.4883, 0.5191)
Ni (0.7500, 0.7500, 0.7500)

---

Record 14
The following is a DFT calculation (PBE) of a geometry-optimized Ni2AgHg2 structure.

Computed properties:
E (eV per atom): -2.7148
Fermi-level density of states (states/eV per cell): 4.2
Offset from the most stable computed form (meV per atom): 85
Space group: No. 139
Energy relative to the elements (eV per atom): 0.289

a b c (Å): 3.3851 3.3851 8.1828
angles (deg): 78.06 78.06 90.00
Each line ends with the local moment (μB).
Positions (direct):
Ni (0.7500, 0.2500, 0.5000)  0.21
Ni (0.2500, 0.7500, 0.5000)  0.21
Hg (0.3850, 0.3850, 0.2300)  0.00
Hg (0.6150, 0.6150, 0.7700)  0.00
Ag (0.0000, 0.0000, 0.0000)  0.00

---

Record 15
The following is a DFT calculation (PBE) of a geometry-optimized NiAg2Hg structure.

Computed properties:
E (eV per atom): -2.7669
Fermi-level density of states (states/eV per cell): 1.5
Space group: No. 12
Energy relative to the elements (eV per atom): 0.180

a b c (Å): 5.1770 5.1770 4.7951
angles (deg): 75.80 75.80 33.36
Positions (direct):
Ag (0.9834, 0.9834, 0.0154)
Ag (0.5165, 0.5165, 0.4846)
Hg (0.7500, 0.7500, 0.7500)
Ni (0.2500, 0.2500, 0.2500)

---

Record 16
The following is a DFT calculation (PBE) of a geometry-optimized NiAg2Hg structure.

Computed properties:
E (eV per atom): -2.7183
Fermi-level density of states (states/eV per cell): 1.6
Space group: No. 10
Energy relative to the elements (eV per atom): 0.228

a b c (Å): 4.8528 2.9217 4.8884
angles (deg): 87.31 90.00 90.00
Positions (direct):
Ag (0.0000, 0.9871, 0.9899)
Ag (0.0000, 0.5129, 0.5101)
Hg (0.5000, 0.2500, 0.2500)
Ni (0.5000, 0.7500, 0.7500)

---

Record 17
The following is a DFT calculation (PBE) of a geometry-optimized NiAgHg2 structure.

Computed properties:
E (eV per atom): -2.0840
Fermi-level density of states (states/eV per cell): 1.9
Offset from the most stable computed form (meV per atom): 69
Space group: No. 225
Energy relative to the elements (eV per atom): 0.225

a b c (Å): 4.6703 4.6703 4.6703
angles (deg): 60.00 60.00 60.00
Positions (direct):
Ni (0.0000, 0.0000, 0.0000)
Hg (0.2500, 0.2500, 0.2500)
Hg (0.7500, 0.7500, 0.7500)
Ag (0.5000, 0.5000, 0.5000)

---

Record 18
The following is a DFT calculation (PBE) of a geometry-optimized NiAg4Hg structure.

Computed properties:
E (eV per atom): -2.5213
Fermi-level density of states (states/eV per cell): 3.2
Space group: No. 216
Energy relative to the elements (eV per atom): 0.393

a b c (Å): 5.4407 5.4407 5.4407
angles (deg): 60.00 60.00 60.00
Positions (direct):
Ni (0.0000, 0.0000, 0.0000)
Ag (0.8760, 0.3747, 0.3747)
Ag (0.3747, 0.3747, 0.8760)
Ag (0.3747, 0.8760, 0.3747)
Ag (0.3747, 0.3747, 0.3747)
Hg (0.7500, 0.7500, 0.7500)

---

Record 19
The following is a DFT calculation (PBE) of a geometry-optimized NiAgHg4 structure.

Computed properties:
E (eV per atom): -1.0815
Fermi-level density of states (states/eV per cell): 2.6
Space group: No. 216
Energy relative to the elements (eV per atom): 0.558

a b c (Å): 5.7304 5.7304 5.7304
angles (deg): 60.00 60.00 60.00
Positions (direct):
Ni (0.7500, 0.7500, 0.7500)
Ag (0.0000, 0.0000, 0.0000)
Hg (0.8743, 0.3752, 0.3752)
Hg (0.3752, 0.3752, 0.8743)
Hg (0.3752, 0.8743, 0.3752)
Hg (0.3752, 0.3752, 0.3752)

---

Record 20
The following is a DFT calculation (PBE) of a geometry-optimized NiAgHg2 structure.

Computed properties:
E (eV per atom): -2.0549
Fermi-level density of states (states/eV per cell): 2.7
Offset from the most stable computed form (meV per atom): 98
Space group: No. 119
Energy relative to the elements (eV per atom): 0.254

a b c (Å): 5.3317 5.3317 5.3317
angles (deg): 135.69 135.69 64.46
Positions (direct):
Ag (0.7500, 0.2500, 0.5000)
Hg (0.0000, 0.0000, 0.0000)
Hg (0.2500, 0.7500, 0.5000)
Ni (0.5000, 0.5000, 0.0000)

---

Record 21
The following is a DFT calculation (PBE) of a geometry-optimized NiAgHg3 structure.

Computed properties:
E (eV per atom): -1.5760
Fermi-level density of states (states/eV per cell): 2.2
Offset from the most stable computed form (meV per atom): 0
Space group: No. 221
Energy relative to the elements (eV per atom): 0.332

a b c (Å): 5.0059 5.0059 5.0059
angles (deg): 90.00 90.00 90.00
Positions (direct):
Ni (0.0000, 0.0000, 0.0000)
Hg (0.0000, 0.5000, 0.0000)
Hg (0.0000, 0.0000, 0.5000)
Hg (0.5000, 0.0000, 0.0000)
Ag (0.5000, 0.5000, 0.5000)

---

Record 22
The following is a DFT calculation (PBE) of a geometry-optimized NiAg2Hg structure.

Computed properties:
E (eV per atom): -2.7383
Fermi-level density of states (states/eV per cell): 1.7
Space group: No. 8
Energy relative to the elements (eV per atom): 0.208

a b c (Å): 4.9943 4.9943 4.9735
angles (deg): 76.85 76.85 34.79
Positions (direct):
Ag (0.9861, 0.9861, 0.0011)
Ag (0.7473, 0.7473, 0.7645)
Hg (0.5142, 0.5142, 0.4755)
Ni (0.2524, 0.2524, 0.2588)

---

Record 23
The following is a DFT calculation (PBE) of a geometry-optimized NiAg2Hg structure.

Computed properties:
E (eV per atom): -2.7350
Fermi-level density of states (states/eV per cell): 3.2
Space group: No. 123
Energy relative to the elements (eV per atom): 0.211

a b c (Å): 3.0166 3.0166 7.5945
angles (deg): 90.00 90.00 90.01
Positions (direct):
Ag (0.0000, 0.0000, 0.9635)
Ag (0.0000, 0.0000, 0.5365)
Hg (0.5000, 0.5000, 0.2500)
Ni (0.5000, 0.5000, 0.7500)

---

Record 24
The following is a DFT calculation (PBE) of a geometry-optimized NiAgHgPd structure.

Computed properties:
E (eV per atom): -3.4482
Fermi-level density of states (states/eV per cell): 1.2
Space group: No. 216
Energy relative to the elements (eV per atom): 0.084

a b c (Å): 4.5181 4.5181 4.5181
angles (deg): 60.00 60.00 60.00
Positions (direct):
Ni (0.5000, 0.5000, 0.5000)
Pd (0.0000, 0.0000, 0.0000)
Hg (0.7500, 0.7500, 0.7500)
Ag (0.2500, 0.2500, 0.2500)

---

Record 25
The following is a DFT calculation (PBE) of a geometry-optimized PrNiAgHg structure.

Computed properties:
E (eV per atom): -3.5533
Fermi-level density of states (states/eV per cell): 3.5
Space group: No. 216
Energy relative to the elements (eV per atom): -0.125

a b c (Å): 4.9216 4.9216 4.9216
angles (deg): 60.00 60.00 60.00
Positions (direct):
Pr (0.7500, 0.7500, 0.7500)
Ni (0.0000, 0.0000, 0.0000)
Hg (0.2500, 0.2500, 0.2500)
Ag (0.5000, 0.5000, 0.5000)

---

Record 26
The following is a DFT calculation (PBE) of a geometry-optimized RbNiAgHg2 structure.

Computed properties:
E (eV per atom): -2.0054
Fermi-level density of states (states/eV per cell): 1.7
Space group: No. 123
Energy relative to the elements (eV per atom): 0.035

a b c (Å): 5.1569 5.1569 5.1832
angles (deg): 90.00 90.00 90.00
Positions (direct):
Ni (0.0000, 0.0000, 0.0000)
Rb (0.5000, 0.5000, 0.5000)
Hg (0.0000, 0.5000, 0.0000)
Hg (0.5000, 0.0000, 0.0000)
Ag (0.0000, 0.0000, 0.5000)

---

Record 27
The following is a DFT calculation (PBE) of a geometry-optimized NiAgHgTe2 structure.

Computed properties:
E (eV per atom): -2.1447
Fermi-level density of states (states/eV per cell): 6.9
Energy relative to the elements, uncorrected (meV/atom): 899
Space group: No. 123

a b c (Å): 5.6039 4.8625 5.6039
angles (deg): 90.00 90.00 90.00
Each line ends with the local moment (μB).
Positions (direct):
Ni (0.0000, 0.5000, 0.0000)  0.56
Te (0.0000, 0.0000, 0.5000)  0.06
Te (0.5000, 0.0000, 0.0000)  0.07
Hg (0.0000, 0.0000, 0.0000)  -0.01
Ag (0.5000, 0.5000, 0.5000)  0.00

---

Record 28
The following is a DFT calculation (PBE) of a geometry-optimized ThNiAgHg structure.

Computed properties:
E (eV per atom): -4.1972
Fermi-level density of states (states/eV per cell): 3.1
Space group: No. 216
Energy relative to the elements (eV per atom): -0.109

a b c (Å): 4.9117 4.9117 4.9117
angles (deg): 60.00 60.00 60.00
Positions (direct):
Ag (0.2500, 0.2500, 0.2500)
Hg (0.5000, 0.5000, 0.5000)
Th (0.0000, 0.0000, 0.0000)
Ni (0.7500, 0.7500, 0.7500)

---

Record 29
The following is a DFT calculation (PBE) of a geometry-optimized TmNiAgHg structure.

Computed properties:
E (eV per atom): -3.5468
Fermi-level density of states (states/eV per cell): 2.3
Space group: No. 216
Energy relative to the elements (eV per atom): -0.195

a b c (Å): 4.7461 4.7461 4.7461
angles (deg): 60.00 60.00 60.00
Positions (direct):
Ni (0.7500, 0.7500, 0.7500)
Tm (0.0000, 0.0000, 0.0000)
Hg (0.5000, 0.5000, 0.5000)
Ag (0.2500, 0.2500, 0.2500)